Density functional theory data (PBE-GGA) for crystalline Sr2CaHoSe4 at its relaxed geometry.

The structure in CIF format:
```
data_Sr2CaHoSe4
_space_group_name_H-M_alt 'P 1 2/m 1'
_space_group_IT_number 10
_cell_length_a 7.390
_cell_length_b 4.255
_cell_length_c 7.444
_cell_angle_alpha 90.00
_cell_angle_beta 109.22
_cell_angle_gamma 90.00
loop_
_space_group_symop_operation_xyz
'x,y,z'
'-x,-y,-z'
'-x,y,-z'
'x,-y,z'
loop_
_atom_site_label
_atom_site_type_symbol
_atom_site_fract_x
_atom_site_fract_y
_atom_site_fract_z
_atom_site_occupancy
Sr1 Sr 0.000 0.000 0.000 1
Sr2 Sr 0.500 0.500 0.000 1
Ca1 Ca 0.000 0.500 0.500 1
Ho1 Ho 0.500 0.000 0.500 1
Se1 Se 0.250 0.000 0.732 1
Se2 Se 0.262 0.500 0.270 1
```

## Properties
Raw total energy ... -4.935 eV per atom

---

Density functional theory data (PBE-GGA) for crystalline Zr2ZnIr at its relaxed geometry.

The structure in CIF format:
```
data_Zr2ZnIr
_space_group_name_H-M_alt 'P 1 21/m 1'
_space_group_IT_number 11
_cell_length_a 5.647
_cell_length_b 4.386
_cell_length_c 6.742
_cell_angle_alpha 90.00
_cell_angle_beta 114.24
_cell_angle_gamma 90.00
loop_
_space_group_symop_operation_xyz
'x,y,z'
'-x,-y,-z'
'-x,y+1/2,-z'
'x,-y+1/2,z'
loop_
_atom_site_label
_atom_site_type_symbol
_atom_site_fract_x
_atom_site_fract_y
_atom_site_fract_z
_atom_site_occupancy
Zr1 Zr 0.170 0.250 0.407 1
Zr2 Zr 0.277 0.750 0.082 1
Zn1 Zn 0.386 0.750 0.702 1
Ir1 Ir 0.146 0.250 0.797 1
```

## Properties
Raw total energy ... -7.416 eV per atom

---

Density functional theory data (PBE-GGA) for crystalline Si23He4 at its relaxed geometry.

The structure in CIF format:
```
data_Si23He4
_space_group_name_H-M_alt 'P m -3 n'
_space_group_IT_number 223
_space_group_name_Hall '-P 4n 2 3'
_cell_length_a 10.245
_cell_length_b 10.245
_cell_length_c 10.245
_cell_angle_alpha 90.00
_cell_angle_beta 90.00
_cell_angle_gamma 90.00
loop_
_atom_site_label
_atom_site_type_symbol
_atom_site_fract_x
_atom_site_fract_y
_atom_site_fract_z
_atom_site_occupancy
Si1 Si 0.000 0.117 0.308 1
Si2 Si 0.000 0.250 0.500 1
Si3 Si 0.184 0.184 0.184 1
He1 He 0.000 0.000 0.000 1
He2 He 0.000 0.500 0.250 1
```

## Properties
Raw total energy ... -4.555 eV per atom

---

Density functional theory data (PBE-GGA) for crystalline Tm4ScPb at its relaxed geometry.

The structure in CIF format:
```
data_Tm4ScPb
_space_group_name_H-M_alt 'C 1 2/m 1'
_space_group_IT_number 12
_cell_length_a 16.565
_cell_length_b 8.146
_cell_length_c 5.485
_cell_angle_alpha 90.00
_cell_angle_beta 109.25
_cell_angle_gamma 90.00
loop_
_space_group_symop_operation_xyz
'x,y,z'
'-x,-y,-z'
'-x,y,-z'
'x,-y,z'
'x+1/2,y+1/2,z'
'-x+1/2,-y+1/2,-z'
'-x+1/2,y+1/2,-z'
'x+1/2,-y+1/2,z'
loop_
_atom_site_label
_atom_site_type_symbol
_atom_site_fract_x
_atom_site_fract_y
_atom_site_fract_z
_atom_site_occupancy
Tm1 Tm 0.000 0.184 0.000 1
Tm2 Tm 0.134 0.222 0.634 1
Tm3 Tm 0.174 0.500 0.174 1
Sc1 Sc 0.000 0.500 0.265 1
Pb1 Pb 0.196 0.000 0.196 1
```

## Properties
Raw total energy ... -4.620 eV per atom